(1)
The following is a GGA-PBEsol calculation of an optimized crystal structure of CaBeF2, from Alexandria via LeMat-Bulk.

```
CaBeF2
1.0
-4.379 2.742 -1.054
1.030 -1.284 5.571
1.713 3.921 3.083
Be Ca F
2 2 4
direct
0.250 0.500 0.250
0.500 0.000 0.500
0.750 0.500 0.750
0.000 0.000 0.000
0.375 0.250 0.375
0.375 0.750 0.375
0.375 0.750 0.875
0.875 0.250 0.375
```

Results
As for the crystal system: tetragonal. For the energy, the calculation gives -34.01 eV per cell. Its total magnetic moment is 0.00 μB/atom. As for the density of states at the Fermi level: 4.16 states/eV per cell. As for the energy relative to the elements, uncorrected: -677 kJ/mol of formula units.

(2)
The following is a GGA-PBEsol calculation of an optimized crystal structure of Zn2GaIr2, from Alexandria via LeMat-Bulk.

```
Zn2GaIr2
1.0
3.815 0.000 0.000
0.000 6.286 0.000
0.000 0.000 6.286
Zn Ir Ga
4 4 2
direct
0.500 0.154 0.654
0.500 0.654 0.846
0.500 0.346 0.154
0.500 0.846 0.346
0.000 0.854 0.646
0.000 0.354 0.854
0.000 0.646 0.146
0.000 0.146 0.354
0.000 0.500 0.500
0.000 0.000 0.000
```

Results
As for the crystal system: tetragonal. For the calculated formation energy, the calculation gives -1.06 eV per formula unit. For the energy, the calculation gives -54.42 eV per cell. Its total magnetic moment is 0.00 μB/atom. As for the density of states at the Fermi level: 2.73 states/eV per cell.

(3)
The following is a GGA-PBEsol calculation of an optimized crystal structure of CaSc2Se, from Alexandria via LeMat-Bulk.

```
CaSc2Se
1.0
-1.943 -1.075 2.735
4.138 -1.094 2.509
-1.007 6.062 -0.602
Sc Ca Se
2 1 1
direct
0.799 0.299 0.597
0.007 0.007 0.014
0.207 0.707 0.414
0.488 0.488 0.975
```

Results
As for the crystal system: orthorhombic. For the energy, the calculation gives -21.31 eV per cell. Its total magnetic moment is 0.00 μB/atom. As for the density of states at the Fermi level: 4.21 states/eV per cell. As for the energy relative to the elements, uncorrected: -204 kJ/mol of formula units.

(4)
The following is a GGA-PBEsol calculation of an optimized crystal structure of LiAgRu, from Alexandria via LeMat-Bulk.

```
LiAgRu
1.0
-1.916 -1.618 -0.353
2.506 -2.480 -2.241
0.768 0.047 4.700
Ag Li Ru
1 1 1
direct
0.999 0.999 0.997
0.667 0.667 0.334
0.334 0.334 0.669
```

Results
As for the crystal system: orthorhombic. For the calculated formation energy, the calculation gives 1.28 eV per formula unit. For the energy, the calculation gives -14.17 eV per cell. Its total magnetic moment is 0.04 μB/atom. As for the density of states at the Fermi level: 4.18 states/eV per cell.

(5)
The following is a GGA-PBEsol calculation of an optimized crystal structure of ZrSbAs, from Alexandria via LeMat-Bulk.

```
ZrSbAs
1.0
-2.885 -1.771 -1.239
2.077 -2.843 -0.772
-0.372 0.577 5.286
As Zr Sb
1 1 1
direct
0.020 0.020 0.040
0.650 0.650 0.300
0.330 0.330 0.660
```

Results
As for the crystal system: tetragonal. The value obtained for the polymorph energy (0 for the lowest one) is 0.00 eV/f.u. For the energy, the calculation gives -20.86 eV per cell. Its total magnetic moment is 0.00 μB/atom. As for the density of states at the Fermi level: 1.42 states/eV per cell. As for the energy relative to the elements, uncorrected: -203 kJ/mol of formula units.

(6)
The following is a GGA-PBEsol calculation of an optimized crystal structure of SrCaYTi2, from Alexandria via LeMat-Bulk.

```
SrCaYTi2
1.0
-0.167 -2.977 -4.144
3.802 -2.838 1.886
-3.707 -3.295 2.517
Y Ti Ca Sr
1 2 1 1
direct
0.000 0.000 0.500
0.000 0.500 0.000
0.500 0.000 0.000
0.000 0.000 0.000
0.500 0.500 0.500
```

Results
As for the crystal system: tetragonal. For the calculated formation energy, the calculation gives 6.21 eV per formula unit. For the energy, the calculation gives -21.23 eV per cell. Its total magnetic moment is 0.51 μB/atom. As for the density of states at the Fermi level: 8.11 states/eV per cell.

(7)
The following is a GGA-PBEsol calculation of an optimized crystal structure of TlCuRe2, from Alexandria via LeMat-Bulk.

```
TlCuRe2
1.0
4.417 0.000 0.000
2.208 3.825 0.000
2.208 1.275 3.606
Re Tl Cu
2 1 1
direct
0.750 0.750 0.750
0.250 0.250 0.250
0.500 0.500 0.500
0.000 0.000 0.000
```

Results
As for the crystal system: cubic. For the calculated formation energy, the calculation gives 4.33 eV per formula unit. The value obtained for the polymorph energy (0 for the lowest one) is 1.75 eV/f.u. For the energy, the calculation gives -29.30 eV per cell. Its total magnetic moment is 0.00 μB/atom. As for the density of states at the Fermi level: 2.52 states/eV per cell.

(8)
The following is a GGA-PBEsol calculation of an optimized crystal structure of LiCa2Cr2, from Alexandria via LeMat-Bulk.

```
LiCa2Cr2
1.0
-2.828 -0.443 -1.489
1.277 -2.424 -1.705
-2.200 -5.577 9.333
Ca Li Cr
2 1 2
direct
0.628 0.628 0.255
0.372 0.372 0.745
0.000 0.000 0.000
0.750 0.250 0.500
0.250 0.750 0.500
```

Results
As for the crystal system: tetragonal. For the calculated formation energy, the calculation gives 3.02 eV per formula unit. For the energy, the calculation gives -23.70 eV per cell. Its total magnetic moment is 0.00 μB/atom. As for the density of states at the Fermi level: 6.49 states/eV per cell.

(9)
The following is a GGA-PBEsol calculation of an optimized crystal structure of KAs2Se, from Alexandria via LeMat-Bulk.

```
KAs2Se
1.0
3.700 0.000 0.000
0.000 5.224 -0.070
-1.850 -0.996 5.863
Se As K
1 2 1
direct
0.000 0.000 0.000
0.778 0.868 0.556
0.222 0.132 0.444
0.500 0.500 0.000
```

Results
As for the crystal system: monoclinic. For the energy, the calculation gives -16.39 eV per cell. Its total magnetic moment is 0.00 μB/atom. As for the density of states at the Fermi level: 1.50 states/eV per cell. As for the energy relative to the elements, uncorrected: -115 kJ/mol of formula units.

(10)
The following is a GGA-PBEsol calculation of an optimized crystal structure of RbNdO2, from Alexandria via LeMat-Bulk.

```
RbNdO2
1.0
-0.406 3.260 -1.525
-2.333 0.442 -2.735
-5.623 2.631 2.823
O Nd Rb
2 1 1
direct
0.773 0.773 0.682
0.227 0.227 0.318
0.500 0.500 0.500
0.000 0.000 0.000
```

Results
As for the crystal system: trigonal. For the energy, the calculation gives -27.05 eV per cell. Its total magnetic moment is 0.00 μB/atom. As for the density of states at the Fermi level: 0.00 states/eV per cell. As for the energy relative to the elements, uncorrected: -999 kJ/mol of formula units.

(11)
The following is a GGA-PBEsol calculation of an optimized crystal structure of Si2MoAsO, from Alexandria via LeMat-Bulk.

```
Si2MoAsO
1.0
4.604 0.000 0.000
0.000 4.604 0.000
0.000 0.000 4.723
Mo As O Si
1 1 1 2
direct
0.000 0.000 0.500
0.000 0.000 0.000
0.500 0.500 0.500
0.000 0.500 0.000
0.500 0.000 0.000
```

Results
As for the crystal system: tetragonal. For the energy, the calculation gives -25.27 eV per cell. Its total magnetic moment is 0.25 μB/atom. As for the density of states at the Fermi level: 4.69 states/eV per cell. As for the energy relative to the elements, uncorrected: 805 kJ/mol of formula units.

(12)
The following is a GGA-PBEsol calculation of an optimized crystal structure of BiIr3O, from Alexandria via LeMat-Bulk.

```
BiIr3O
1.0
-2.793 2.700 -1.747
-3.157 -2.742 0.811
-0.610 1.827 3.799
Bi Ir O
1 3 1
direct
0.500 0.500 0.500
0.500 0.000 0.000
0.000 0.500 0.000
0.000 0.000 0.500
0.000 0.000 0.000
```

Results
As for the crystal system: cubic. For the energy, the calculation gives -34.64 eV per cell. Its total magnetic moment is 0.00 μB/atom. As for the density of states at the Fermi level: 7.00 states/eV per cell. As for the energy relative to the elements, uncorrected: 421 kJ/mol of formula units.

(13)
The following is a GGA-PBEsol calculation of an optimized crystal structure of ZnIr2Pt, from Alexandria via LeMat-Bulk.

```
ZnIr2Pt
1.0
-1.337 -1.567 1.741
2.039 -3.700 -1.829
3.129 3.046 3.089
Zn Ir Pt
1 2 1
direct
0.000 0.500 0.000
0.500 0.500 0.500
0.000 0.000 0.500
0.500 0.000 0.000
```

Results
As for the crystal system: monoclinic. For the calculated formation energy, the calculation gives 0.17 eV per formula unit. For the energy, the calculation gives -28.02 eV per cell. Its total magnetic moment is 0.00 μB/atom. As for the density of states at the Fermi level: 3.45 states/eV per cell.

(14)
The following is a GGA-PBEsol calculation of an optimized crystal structure of CaPOs2, from Alexandria via LeMat-Bulk.

```
CaPOs2
1.0
2.890 0.000 -0.016
0.000 4.241 0.000
-0.902 0.000 5.551
Ca P Os
1 1 2
direct
0.226 0.500 0.724
0.635 0.000 0.444
0.034 0.000 0.103
0.605 0.500 0.229
```

Results
As for the crystal system: monoclinic. For the calculated formation energy, the calculation gives 0.24 eV per formula unit. For the energy, the calculation gives -32.11 eV per cell. Its total magnetic moment is 0.00 μB/atom. As for the density of states at the Fermi level: 3.42 states/eV per cell.